[1]
Entry from Alexandria via LeMat-Bulk: crystalline Rb12Hg6Au at its relaxed geometry (GGA-PBE).

a b c (Å): 10.1378 10.1378 10.1378
angles (deg): 101.02 101.02 101.02
Positions (direct):
Rb (0.1304, 0.4221, 0.1723)
Rb (0.1723, 0.1304, 0.4221)
Rb (0.2090, 0.7372, 0.5486)
Rb (0.2628, 0.4514, 0.7910)
Rb (0.4221, 0.1723, 0.1304)
Rb (0.4514, 0.7910, 0.2628)
Rb (0.5486, 0.2090, 0.7372)
Rb (0.5779, 0.8277, 0.8696)
Rb (0.7372, 0.5486, 0.2090)
Rb (0.7910, 0.2628, 0.4514)
Rb (0.8277, 0.8696, 0.5779)
Rb (0.8696, 0.5779, 0.8277)
Hg (0.0673, 0.7883, 0.1766)
Hg (0.1766, 0.0673, 0.7883)
Hg (0.2117, 0.8234, 0.9327)
Hg (0.7883, 0.1766, 0.0673)
Hg (0.8234, 0.9327, 0.2117)
Hg (0.9327, 0.2117, 0.8234)
Au (0.5000, 0.5000, 0.5000)

Results
ΔH_f (0 K)   -2.88 kcal/mol of atoms
Crystal system   trigonal
Fermi-level density of states   0.46 states/eV per atom

***

[2]
Entry from Alexandria via LeMat-Bulk: crystalline AcSn2Hg at its relaxed geometry (GGA-PBE).

a b c (Å): 6.2188 6.2188 6.2188
angles (deg): 48.56 48.56 48.56
Positions (direct):
Ac (0.0000, 0.0000, 0.0000)
Sn (0.2150, 0.2150, 0.2150)
Sn (0.7850, 0.7850, 0.7850)
Hg (0.5000, 0.5000, 0.5000)

Results
ΔH_f (0 K)   -6.78 kcal/mol of atoms
Relative energy among the computed polymorphs   180.4 meV per atom
Crystal system   trigonal
Fermi-level density of states   0.60 states/eV per atom

***

[3]
Entry from Alexandria via LeMat-Bulk: crystalline NaVFeCl6 at its relaxed geometry (GGA-PBE).

a b c (Å): 6.1044 6.1044 6.2580
angles (deg): 90.00 90.00 120.00
Positions (direct):
Na (0.0000, 0.0000, 0.0000)
V (0.3333, 0.6667, 0.5000)
Fe (0.6667, 0.3333, 0.5000)
Cl (0.3695, 0.0129, 0.7121)
Cl (0.3695, 0.3566, 0.2879)
Cl (0.6434, 0.0129, 0.2879)
Cl (0.6434, 0.6305, 0.7121)
Cl (0.9871, 0.3566, 0.7121)
Cl (0.9871, 0.6305, 0.2879)

Results
E_form (uncorrected)   -1074 meV/atom
Crystal system   trigonal
Fermi-level density of states   1.17 states/eV per atom

***

[4]
Entry from Alexandria via LeMat-Bulk: crystalline Cs2VBr5 at its relaxed geometry (GGA-PBE).

a b c (Å): 7.6568 7.6568 7.6568
angles (deg): 115.65 115.65 97.71
Positions (direct):
Cs (0.0000, 0.5000, 0.5000)
Cs (0.5000, 0.0000, 0.5000)
V (0.2959, 0.2959, 0.0000)
Br (0.0322, 0.0322, 0.5697)
Br (0.0322, 0.4625, 0.0000)
Br (0.4625, 0.0322, 0.0000)
Br (0.4625, 0.4625, 0.4303)
Br (0.5319, 0.5319, 0.0000)

Results
E_form (uncorrected)   -1333 meV/atom
Crystal system   tetragonal
Fermi-level density of states   1.15 states/eV per atom

***

[5]
Entry from Alexandria via LeMat-Bulk: crystalline DyPuSc at its relaxed geometry (GGA-PBE).

a b c (Å): 7.4591 7.4591 7.4591
angles (deg): 153.56 153.56 37.74
Positions (direct):
Dy (0.0000, 0.0000, 0.0000)
Pu (0.6743, 0.6743, 0.0000)
Sc (0.3310, 0.3310, 0.0000)

Results
ΔH_f (0 K)   2.64 kcal/mol of atoms
Relative energy among the computed polymorphs   0.0 meV per atom
Crystal system   tetragonal
Fermi-level density of states   2.46 states/eV per atom

***

[6]
Entry from Alexandria via LeMat-Bulk: crystalline Ba2HgBi3 at its relaxed geometry (GGA-PBE).

a b c (Å): 4.7371 5.4100 9.2668
angles (deg): 90.00 90.00 90.00
Positions (direct):
Ba (0.0000, 0.0000, 0.0000)
Ba (0.0000, 0.5000, 0.4829)
Hg (0.5000, 0.5000, 0.8190)
Bi (0.5000, 0.0000, 0.3277)
Bi (0.5000, 0.0000, 0.6664)
Bi (0.5000, 0.5000, 0.1538)

Results
ΔH_f (0 K)   -14.11 kcal/mol of atoms
Crystal system   orthorhombic
Fermi-level density of states   0.39 states/eV per atom

***

[7]
Entry from Alexandria via LeMat-Bulk: crystalline BaRhW2 at its relaxed geometry (GGA-PBE).

a b c (Å): 5.0230 5.0230 3.0119
angles (deg): 90.00 90.00 90.00
Positions (direct):
Ba (0.0000, 0.0000, 0.0000)
Rh (0.5000, 0.5000, 0.0000)
W (0.0000, 0.5000, 0.5000)
W (0.5000, 0.0000, 0.5000)

Results
ΔH_f (0 K)   36.76 kcal/mol of atoms
Relative energy among the computed polymorphs   1008.2 meV per atom
Crystal system   tetragonal
Fermi-level density of states   1.25 states/eV per atom

***

What did the third record say?
Entry from Alexandria via LeMat-Bulk: crystalline NaVFeCl6 at its relaxed geometry (GGA-PBE).

a b c (Å): 6.1044 6.1044 6.2580
angles (deg): 90.00 90.00 120.00
Positions (direct):
Na (0.0000, 0.0000, 0.0000)
V (0.3333, 0.6667, 0.5000)
Fe (0.6667, 0.3333, 0.5000)
Cl (0.3695, 0.0129, 0.7121)
Cl (0.3695, 0.3566, 0.2879)
Cl (0.6434, 0.0129, 0.2879)
Cl (0.6434, 0.6305, 0.7121)
Cl (0.9871, 0.3566, 0.7121)
Cl (0.9871, 0.6305, 0.2879)

Results
E_form (uncorrected)   -1074 meV/atom
Crystal system   trigonal
Fermi-level density of states   1.17 states/eV per atom

***

Look up the Fermi-level density of states of the third one.
1.17 states/eV per atom

***

Among the records above, which one has the highest Fermi-level density of states?
DyPuSc